Record 1
Ba12CaIn6, optimized geometry, DFT GGA-PBE; E_tot = -2.324 eV/atom; space-group type = R-3; energy of formation = -0.1399 eV per atom
1.0
8.7907 5.0753 3.2621
-8.7907 5.0753 3.2621
0.0000 -10.1507 3.2621
Ba Ca In
12 1 6
direct
0.0923 0.7245 0.1786 Ba
0.1786 0.0923 0.7245 Ba
0.1860 0.4970 0.3760 Ba
0.2755 0.8214 0.9077 Ba
0.3760 0.1860 0.4970 Ba
0.4970 0.3760 0.1860 Ba
0.5030 0.6240 0.8140 Ba
0.6240 0.8140 0.5030 Ba
0.7245 0.1786 0.0923 Ba
0.8140 0.5030 0.6240 Ba
0.8214 0.9077 0.2755 Ba
0.9077 0.2755 0.8214 Ba
0.0000 0.0000 0.0000 Ca
0.0666 0.3367 0.5891 In
0.3367 0.5891 0.0666 In
0.4109 0.9334 0.6633 In
0.5891 0.0666 0.3367 In
0.6633 0.4109 0.9334 In
0.9334 0.6633 0.4109 In


Record 2
Ba6Ca2In, optimized geometry, DFT GGA-PBE; E_tot = -1.906 eV/atom; space-group type = C2/m; energy of formation = 0.1245 eV per atom
1.0
9.2231 -5.4133 0.0000
9.2231 5.4133 0.0000
-1.8182 0.0000 5.4996
Ba Ca In
6 2 1
direct
0.0388 0.6317 0.3355 Ba
0.1802 0.8198 0.0000 Ba
0.3683 0.9612 0.6645 Ba
0.6317 0.0388 0.3355 Ba
0.8198 0.1802 0.0000 Ba
0.9612 0.3683 0.6645 Ba
0.3778 0.3778 0.8788 Ca
0.6222 0.6222 0.1212 Ca
0.0000 0.0000 0.5000 In


Record 3
BaCaIn4, optimized geometry, DFT GGA-PBE; polymorph energy (0 for the lowest one) = 0.061 eV per atom; E_tot = -2.836 eV/atom; space-group type = F-43m; energy of formation = -0.3562 eV per atom
1.0
0.0000 4.4701 4.4701
4.4701 0.0000 4.4701
4.4701 4.4701 0.0000
Ba Ca In
1 1 4
direct
0.0000 0.0000 0.0000 Ba
0.7500 0.7500 0.7500 Ca
0.3752 0.3752 0.3752 In
0.3752 0.3752 0.8743 In
0.3752 0.8743 0.3752 In
0.8743 0.3752 0.3752 In